Below is crystalline NaHoPu at its relaxed geometry, with properties calculated at the PBE-GGA level.

Summary:
E above lowest polymorph: 0.0 meV/atom
Volume: 102 Å³/cell
Size of the total moment: 7.84 μB per formula unit
Calculated total energy: -5.720 eV/atom

Geometry as POSCAR:
```
NaHoPu
1.0
-3.578 -3.547 -1.466
-4.652 1.575 -1.848
-1.151 -0.620 -5.082
Pu Ho Na
1 1 1
direct
0.750 0.750 0.750 Pu
0.250 0.250 0.250 Ho
0.000 0.000 0.000 Na
```



Below is crystalline SrInPt at its relaxed geometry, with properties calculated at the PBE-GGA level.

Summary:
Volume: 159 Å³/cell
Size of the total moment: 0.00 μB per formula unit
Calculated total energy: -4.180 eV/atom

Geometry as POSCAR:
```
SrInPt
1.0
-1.306 4.526 -0.013
-3.252 -3.390 -0.345
-0.692 -0.175 8.257
In Pt Sr
2 2 2
direct
0.333 0.667 0.250 In
0.667 0.333 0.750 In
0.667 0.333 0.250 Pt
0.333 0.667 0.750 Pt
0.000 0.000 0.500 Sr
0.000 0.000 0.000 Sr
```



Below is crystalline Li4SiGeAu2 at its relaxed geometry, with properties calculated at the PBE-GGA level.

Summary:
Volume: 116 Å³/cell
Calculated total energy: -3.500 eV/atom

Geometry as POSCAR:
```
Li4SiGeAu2
1.0
-0.008 -4.334 -0.334
-0.055 -0.334 4.333
-6.142 0.017 -0.077
Ge Li Au Si
1 4 2 1
direct
0.500 0.500 0.000 Ge
0.000 0.500 0.747 Li
0.500 0.000 0.253 Li
0.000 0.000 0.000 Li
0.500 0.500 0.500 Li
0.500 0.000 0.735 Au
0.000 0.500 0.265 Au
0.000 0.000 0.500 Si
```



Below is crystalline Nd4B2Cl5 at its relaxed geometry, with properties calculated at the PBE-GGA level.

Summary:
Volume: 286 Å³/cell
Size of the total moment: 0.01 μB per formula unit
Calculated total energy: -5.266 eV/atom

Geometry as POSCAR:
```
Nd4B2Cl5
1.0
10.067 -0.710 -0.898
7.000 7.059 1.956
-7.406 -6.625 1.981
Nd Cl B
4 5 2
direct
0.285 0.000 0.285 Nd
0.674 0.674 0.000 Nd
0.326 0.326 0.000 Nd
0.715 0.000 0.715 Nd
0.408 0.169 0.239 Cl
0.930 0.169 0.761 Cl
0.070 0.831 0.239 Cl
0.592 0.831 0.761 Cl
0.000 0.500 0.500 Cl
0.543 0.543 0.000 B
0.457 0.457 0.000 B
```



Below is crystalline LiTlCoRe at its relaxed geometry, with properties calculated at the PBE-GGA level.

Summary:
E above lowest polymorph: 0.0 meV/atom
Volume: 57 Å³/cell
Size of the total moment: 2.00 μB per formula unit
Calculated total energy: -5.399 eV/atom

Geometry as POSCAR:
```
LiTlCoRe
1.0
2.115 0.427 3.750
-1.009 -2.541 3.354
2.757 -3.075 1.291
Co Li Re Tl
1 1 1 1
direct
0.750 0.750 0.750 Co
0.250 0.250 0.250 Li
0.500 0.500 0.500 Re
0.000 0.000 0.000 Tl
```



Below is crystalline Cs2IrPdO4 at its relaxed geometry, with properties calculated at the PBE-GGA level.

Summary:
Volume: 189 Å³/cell
Size of the total moment: 3.00 μB per formula unit
Calculated total energy: -5.392 eV/atom

Geometry as POSCAR:
```
Cs2IrPdO4
1.0
5.895 0.000 0.000
0.000 2.594 6.164
0.000 -2.594 6.164
Cs O Ir Pd
2 4 1 1
direct
0.000 0.814 0.814 Cs
0.500 0.185 0.185 Cs
0.234 0.392 0.392 O
0.756 0.608 0.608 O
0.244 0.608 0.608 O
0.766 0.392 0.392 O
0.000 0.503 0.503 Ir
0.500 0.497 0.497 Pd
```



Below is crystalline TmAlBiSe3 at its relaxed geometry, with properties calculated at the PBE-GGA level.

Summary:
Volume: 316 Å³/cell
Size of the total moment: 0.01 μB per formula unit
Calculated total energy: -4.677 eV/atom

Geometry as POSCAR:
```
TmAlBiSe3
1.0
1.933 -7.358 0.000
1.933 7.358 0.000
0.000 0.000 11.090
Tm Bi Se Al
2 2 6 2
direct
0.500 0.500 0.500 Tm
0.500 0.500 0.000 Tm
0.187 0.813 0.750 Bi
0.813 0.187 0.250 Bi
0.464 0.536 0.750 Se
0.139 0.861 0.493 Se
0.536 0.464 0.250 Se
0.861 0.139 0.507 Se
0.139 0.861 0.007 Se
0.861 0.139 0.993 Se
0.152 0.848 0.250 Al
0.848 0.152 0.750 Al
```



Below is crystalline KAgSnSe3 at its relaxed geometry, with properties calculated at the PBE-GGA level.

Summary:
E above lowest polymorph: 52.5 meV/atom
Volume: 328 Å³/cell
Calculated total energy: -3.550 eV/atom

Geometry as POSCAR:
```
KAgSnSe3
1.0
-0.094 6.179 4.533
-0.129 3.049 7.031
11.071 0.028 0.191
Se K Ag Sn
6 2 2 2
direct
0.445 0.445 0.750 Se
0.870 0.870 0.470 Se
0.130 0.130 0.530 Se
0.130 0.130 0.970 Se
0.555 0.555 0.250 Se
0.870 0.870 0.030 Se
0.236 0.236 0.250 K
0.764 0.764 0.750 K
0.931 0.931 0.250 Ag
0.069 0.069 0.750 Ag
0.500 0.500 0.000 Sn
0.500 0.500 0.500 Sn
```



Below is crystalline PrO at its relaxed geometry, with properties calculated at the PBE-GGA level.

Summary:
E above lowest polymorph: 1.3 meV/atom
Volume: 97 Å³/cell
Size of the total moment: 0.00 μB per formula unit
Calculated total energy: -7.562 eV/atom

Geometry as POSCAR:
```
PrO
1.0
-0.172 0.177 -3.575
-2.502 -1.799 1.827
-4.805 7.285 0.592
Pr O
3 3
direct
0.000 0.000 0.000 Pr
0.333 0.667 0.667 Pr
0.667 0.333 0.333 Pr
0.333 0.667 0.166 O
0.667 0.333 0.834 O
0.000 0.000 0.500 O
```



Below is crystalline DyZnAu4 at its relaxed geometry, with properties calculated at the PBE-GGA level.

Summary:
Volume: 121 Å³/cell
ΔH_f (0 K): -0.37 eV per atom
Size of the total moment: 0.00 μB per formula unit
Calculated total energy: -3.523 eV/atom

Geometry as POSCAR:
```
DyZnAu4
1.0
-1.997 -5.071 0.972
-1.847 -1.306 5.053
-5.426 -0.703 0.848
Dy Au Zn
1 4 1
direct
0.250 0.250 0.250 Dy
0.626 0.626 0.626 Au
0.626 0.626 0.125 Au
0.125 0.626 0.626 Au
0.626 0.125 0.626 Au
0.998 0.998 0.998 Zn
```



Below is crystalline Fe at its relaxed geometry, with properties calculated at the PBE-GGA level.

Summary:
E above lowest polymorph: 169.9 meV/atom
Volume: 23 Å³/cell
ΔH_f (0 K): 0.17 eV per atom
Size of the total moment: 2.40 μB per formula unit
Calculated total energy: -8.139 eV/atom

Geometry as POSCAR:
```
Fe
1.0
-2.030 -1.190 -0.109
-0.157 -1.896 -1.815
1.465 -2.749 2.745
Fe
2
direct
0.861 0.277 0.250 Fe
0.139 0.723 0.750 Fe
```



Below is crystalline CdFe2Pd at its relaxed geometry, with properties calculated at the PBE-GGA level.

Summary:
Volume: 60 Å³/cell
ΔH_f (0 K): 0.13 eV per atom
Size of the total moment: 5.42 μB per formula unit
Calculated total energy: -5.538 eV/atom

Geometry as POSCAR:
```
CdFe2Pd
1.0
2.913 3.258 0.351
-0.328 2.890 3.280
2.942 -0.030 3.251
Pd Fe Cd
1 2 1
direct
0.000 0.000 0.000 Pd
0.250 0.250 0.250 Fe
0.500 0.500 0.500 Fe
0.750 0.750 0.750 Cd
```



Below is crystalline Lu4SiSbC2 at its relaxed geometry, with properties calculated at the PBE-GGA level.

Summary:
Volume: 158 Å³/cell
Size of the total moment: 0.00 μB per formula unit
Calculated total energy: -6.340 eV/atom

Geometry as POSCAR:
```
Lu4SiSbC2
1.0
-1.868 -1.352 2.676
0.267 -1.775 -3.042
11.956 -6.702 4.959
Sb Si C Lu
1 1 2 4
direct
0.333 0.667 0.500 Sb
0.667 0.333 0.000 Si
0.000 0.000 0.245 C
0.000 0.000 0.755 C
0.333 0.667 0.849 Lu
0.667 0.333 0.329 Lu
0.667 0.333 0.671 Lu
0.333 0.667 0.151 Lu
```



Below is crystalline SmHo2Cu4Pb4 at its relaxed geometry, with properties calculated at the PBE-GGA level.

Summary:
Volume: 244 Å³/cell
Size of the total moment: 0.00 μB per formula unit
Calculated total energy: -4.221 eV/atom

Geometry as POSCAR:
```
SmHo2Cu4Pb4
1.0
-2.276 3.563 7.508
2.276 -3.563 7.508
2.276 3.563 -7.508
Pb Ho Cu Sm
4 2 4 1
direct
0.295 0.500 0.795 Pb
0.218 0.218 0.000 Pb
0.782 0.782 0.000 Pb
0.705 0.500 0.205 Pb
0.632 0.132 0.500 Ho
0.368 0.868 0.500 Ho
0.984 0.670 0.314 Cu
0.357 0.670 0.686 Cu
0.643 0.330 0.314 Cu
0.016 0.330 0.686 Cu
0.000 0.000 0.000 Sm
```



Below is crystalline TaBeNi2 at its relaxed geometry, with properties calculated at the PBE-GGA level.

Summary:
Volume: 48 Å³/cell
Size of the total moment: 0.02 μB per formula unit
Calculated total energy: -6.799 eV/atom

Geometry as POSCAR:
```
TaBeNi2
1.0
-3.359 -2.288 -0.137
-3.074 1.045 -2.448
-0.812 -2.223 -3.307
Ni Ta Be
2 1 1
direct
0.000 0.000 0.000 Ni
0.750 0.750 0.750 Ni
0.250 0.250 0.250 Ta
0.500 0.500 0.500 Be
```



Below is crystalline Pr2Y2CI2Br3 at its relaxed geometry, with properties calculated at the PBE-GGA level.

Summary:
E above lowest polymorph: 0.0 meV/atom
Volume: 315 Å³/cell
Size of the total moment: 0.09 μB per formula unit
Calculated total energy: -5.289 eV/atom

Geometry as POSCAR:
```
Pr2Y2CI2Br3
1.0
-8.898 2.531 2.931
-8.274 -0.811 5.005
4.888 4.304 5.462
C Y Br I Pr
1 2 3 2 2
direct
0.500 0.500 0.000 C
0.630 0.630 0.066 Y
0.370 0.370 0.934 Y
0.500 0.500 0.500 Br
0.161 0.161 0.316 Br
0.839 0.839 0.684 Br
0.826 0.826 0.177 I
0.174 0.174 0.823 I
0.999 0.999 0.207 Pr
0.001 0.001 0.793 Pr
```



Below is crystalline NiAsPdPt at its relaxed geometry, with properties calculated at the PBE-GGA level.

Summary:
E above lowest polymorph: 0.0 meV/atom
Volume: 59 Å³/cell
Size of the total moment: 0.00 μB per formula unit
Calculated total energy: -5.416 eV/atom

Geometry as POSCAR:
```
NiAsPdPt
1.0
1.367 1.140 3.998
-1.135 3.879 1.677
-2.852 0.201 3.313
Ni As Pd Pt
1 1 1 1
direct
0.750 0.750 0.750 Ni
0.000 0.000 0.000 As
0.500 0.500 0.500 Pd
0.250 0.250 0.250 Pt
```



Below is crystalline LiSmO2 at its relaxed geometry, with properties calculated at the PBE-GGA level.

Summary:
Volume: 210 Å³/cell
Size of the total moment: 0.00 μB per formula unit
Calculated total energy: -6.962 eV/atom

Geometry as POSCAR:
```
LiSmO2
1.0
11.425 0.000 0.000
0.000 3.452 0.000
0.000 0.000 5.327
O Sm Li
8 4 4
direct
0.202 0.750 0.804 O
0.975 0.250 0.751 O
0.525 0.750 0.251 O
0.475 0.250 0.749 O
0.702 0.750 0.696 O
0.025 0.750 0.249 O
0.798 0.250 0.196 O
0.298 0.250 0.304 O
0.360 0.750 0.551 Sm
0.640 0.250 0.449 Sm
0.860 0.750 0.949 Sm
0.140 0.250 0.051 Sm
0.935 0.250 0.401 Li
0.065 0.750 0.599 Li
0.565 0.750 0.901 Li
0.435 0.250 0.099 Li
```



Below is crystalline LuZnBi2 at its relaxed geometry, with properties calculated at the PBE-GGA level.

Summary:
Volume: 109 Å³/cell
Size of the total moment: 0.00 μB per formula unit
Calculated total energy: -3.508 eV/atom

Geometry as POSCAR:
```
LuZnBi2
1.0
0.000 3.792 3.792
3.792 0.000 3.792
3.792 3.792 0.000
Zn Bi Lu
1 2 1
direct
0.250 0.250 0.250 Zn
0.000 0.000 0.000 Bi
0.750 0.750 0.750 Bi
0.500 0.500 0.500 Lu
```



Below is crystalline DyScPt at its relaxed geometry, with properties calculated at the PBE-GGA level.

Summary:
E above lowest polymorph: 141.6 meV/atom
Volume: 70 Å³/cell
ΔH_f (0 K): -0.07 eV per atom
Size of the total moment: 0.00 μB per formula unit
Calculated total energy: -5.737 eV/atom

Geometry as POSCAR:
```
DyScPt
1.0
0.949 0.524 4.506
1.113 4.181 1.663
-2.967 2.268 2.745
Pt Sc Dy
1 1 1
direct
0.250 0.250 0.250 Pt
0.750 0.750 0.750 Sc
0.000 0.000 0.000 Dy
```